# 1
A plane-wave DFT calculation with GGA-PBE was carried out for Hf2ZrTi2 after structural relaxation.

Output
**Energy above the most stable polymorph in this dataset**: 0.092 eV per atom
**Energy relative to the elements**: 0.225 eV/atom
**Size of the total moment**: 0.0 μB per cell

Cell: 7.9846 7.9846 3.2866 Å, 90.00 90.00 90.00°
Atoms (fractional coordinates):
Hf 0.1321 0.3679 0.0000
Hf 0.3679 0.8679 0.0000
Hf 0.6321 0.1321 0.0000
Hf 0.8679 0.6321 0.0000
Zr 0.0000 0.0000 0.0000
Zr 0.5000 0.5000 0.0000
Ti 0.1638 0.6638 0.5000
Ti 0.3362 0.1638 0.5000
Ti 0.6638 0.8362 0.5000
Ti 0.8362 0.3362 0.5000


# 2
A plane-wave DFT calculation with GGA-PBE was carried out for TlRe3W after structural relaxation.

Output
**Energy above the most stable polymorph in this dataset**: 1.372 eV per atom
**Energy relative to the elements**: 3.599 eV/atom
**Size of the total moment**: 0.0 μB per cell

Cell: 4.7819 4.7819 4.7819 Å, 90.00 90.00 90.00°
Atoms (fractional coordinates):
Tl 0.0000 0.0000 0.0000
Re 0.0000 0.0000 0.5000
Re 0.0000 0.5000 0.0000
Re 0.5000 0.0000 0.0000
W 0.5000 0.5000 0.5000


# 3
A plane-wave DFT calculation with GGA-PBE was carried out for Ba3Ga4Pd4 after structural relaxation.

Output
**Energy above the most stable polymorph in this dataset**: 0.000 eV per atom
**Energy relative to the elements**: -0.613 eV/atom
**Size of the total moment**: 0.0 μB per cell

Cell: 7.0285 7.0285 7.0285 Å, 109.47 109.47 109.47°
Atoms (fractional coordinates):
Ba 0.0000 0.5000 0.5000
Ba 0.5000 0.0000 0.5000
Ba 0.5000 0.5000 0.0000
Ga 0.0000 0.0000 0.6240
Ga 0.0000 0.6240 0.0000
Ga 0.3760 0.3760 0.3760
Ga 0.6240 0.0000 0.0000
Pd 0.0000 0.0000 0.2626
Pd 0.0000 0.2626 0.0000
Pd 0.2626 0.0000 0.0000
Pd 0.7374 0.7374 0.7374


# 4
A plane-wave DFT calculation with GGA-PBE was carried out for Mn2PRh after structural relaxation.

Output
**Energy relative to the elements**: -0.299 eV/atom
**Size of the total moment**: 5.6 μB per cell

Cell: 3.3175 5.6244 5.6244 Å, 30.04 90.00 90.00°
Atoms (fractional coordinates):
Mn 0.0000 0.0000 0.0000
Mn 0.5000 0.3564 0.3564
P 0.5000 0.5768 0.5768
Rh 0.0000 0.7268 0.7268


# 5
A plane-wave DFT calculation with GGA-PBE was carried out for AcSm2Au4 after structural relaxation.

Output
**Energy relative to the elements**: -0.648 eV/atom
**Size of the total moment**: 0.0 μB per cell

Cell: 6.3416 6.3416 5.3577 Å, 90.00 90.00 112.42°
Atoms (fractional coordinates):
Ac 0.0000 0.0000 0.0000
Sm 0.2800 0.7200 0.5000
Sm 0.7200 0.2800 0.5000
Au 0.0000 0.5000 0.0000
Au 0.2198 0.2198 0.5000
Au 0.5000 0.0000 0.0000
Au 0.7802 0.7802 0.5000


# 6
A plane-wave DFT calculation with GGA-PBE was carried out for KCu3B after structural relaxation.

Output
**Energy relative to the elements**: 0.405 eV/atom
**Size of the total moment**: 0.0 μB per cell

Cell: 4.2535 4.2535 4.2535 Å, 90.00 90.00 90.00°
Atoms (fractional coordinates):
K 0.0000 0.0000 0.0000
Cu 0.0000 0.5000 0.5000
Cu 0.5000 0.0000 0.5000
Cu 0.5000 0.5000 0.0000
B 0.5000 0.5000 0.5000


# 7
A plane-wave DFT calculation with GGA-PBE was carried out for Ce4CdPb5 after structural relaxation.

Output
**Energy above the most stable polymorph in this dataset**: 0.000 eV per atom
**Energy relative to the elements**: -0.341 eV/atom
**Size of the total moment**: 4.2 μB per cell

Cell: 9.4268 9.4268 6.7842 Å, 104.54 104.54 30.10°
Atoms (fractional coordinates):
Ce 0.0898 0.0898 0.3348
Ce 0.2945 0.2945 0.8895
Ce 0.7055 0.7055 0.1105
Ce 0.9102 0.9102 0.6652
Cd 0.5000 0.5000 0.0000
Pb 0.0993 0.0993 0.8415
Pb 0.2984 0.2984 0.3991
Pb 0.5000 0.5000 0.5000
Pb 0.7016 0.7016 0.6009
Pb 0.9007 0.9007 0.1585


# 8
A plane-wave DFT calculation with GGA-PBE was carried out for Cr2CuPb after structural relaxation.

Output
**Energy relative to the elements**: 0.791 eV/atom
**Size of the total moment**: 8.2 μB per cell

Cell: 8.9311 8.9311 8.9311 Å, 20.46 20.46 20.46°
Atoms (fractional coordinates):
Cr 0.2385 0.2385 0.2385
Cr 0.7615 0.7615 0.7615
Cu 0.5000 0.5000 0.5000
Pb 0.0000 0.0000 0.0000